w) Entry from Alexandria: Nd3Ho4Er2 after structural relaxation (PBE).

a b c (Å): 16.6013 11.6549 6.0470
angles (deg): 90.00 97.61 90.00
Last column: nearest neighbours and their distance in Å.
Space group C2/c (No. 15)
Asymmetric unit:
Nd 0.0000 0.1057 0.2500 x4  6 Er 3.38-3.70, 4 Ho 3.50-3.57
Nd 0.1668 0.3937 0.0828 x8  8 Ho 3.39-3.71, 2 Er 3.49-3.58
Ho 0.0496 0.3671 0.5198 x8  1 Er 3.36, 5 Nd 3.39-3.70, 3 Ho 3.42-3.50
Ho 0.2159 0.1322 0.3538 x8  1 Ho 3.38, 5 Nd 3.39-3.71, 3 Er 3.42-3.50
Er 0.1165 0.1332 0.8134 x8  4 Ho 3.36-3.50, 5 Nd 3.38-3.70

The value obtained for the density of states at the Fermi level is 55.161 states/eV/cell. The magnetic moment comes out at 0.00 μB per atom.



x) Entry from Alexandria: Nd3Ho4Er2 after structural relaxation (PBE).

a b c (Å): 6.1740 6.1850 9.4521
angles (deg): 108.98 90.04 119.93
Last column: nearest neighbours and their distance in Å.
Space group P-1 (No. 2)
Asymmetric unit:
Nd 0.0000 0.0000 0.0000 x1  8 Ho 3.56-3.58, 2 Er 3.58, 2 Nd 3.58
Nd 0.1120 0.5563 0.3334 x2  6 Ho 3.56-3.59, 4 Er 3.56-3.57, 2 Nd 3.58
Ho 0.2232 0.1130 0.6669 x2  5 Nd 3.56-3.59, 4 Er 3.56-3.58, 3 Ho 3.56-3.57
Ho 0.3353 0.6680 0.0001 x2  5 Nd 3.56-3.58, 5 Ho 3.56-3.59, 2 Er 3.57-3.58
Er 0.4452 0.2232 0.3338 x2  6 Ho 3.56-3.58, 5 Nd 3.56-3.58, 1 Er 3.57

The value obtained for the density of states at the Fermi level is 11.740 states/eV/cell. The magnetic moment comes out at 0.00 μB per atom.



Which structure is most stable, and how do the rest compare? From most to least stable: x), w).



w) Entry from Alexandria: PrNdHoEr after structural relaxation (PBE).

a b c (Å): 5.1109 5.1109 10.1682
angles (deg): 90.00 90.00 90.00
Last column: nearest neighbours and their distance in Å.
Space group I-4m2 (No. 119)
Asymmetric unit:
Pr 0.0000 0.0000 0.0000 x2  4 Er 3.60, 4 Nd 3.60, 4 Ho 3.61
Nd 0.0000 0.5000 0.7500 x2  4 Ho 3.60, 4 Pr 3.60, 4 Er 3.61
Ho 0.0000 0.0000 0.5000 x2  4 Nd 3.60, 4 Er 3.60, 4 Pr 3.61
Er 0.0000 0.5000 0.2500 x2  4 Pr 3.60, 4 Ho 3.60, 4 Nd 3.61

The value obtained for the density of states at the Fermi level is 11.390 states/eV/cell. The magnetic moment comes out at 0.00 μB per atom.



x) Entry from Alexandria: PrNdHoEr after structural relaxation (PBE).

a b c (Å): 8.1182 8.1182 8.1182
angles (deg): 90.00 90.00 90.00
Last column: nearest neighbours and their distance in Å.
Space group F-43m (No. 216)
Asymmetric unit:
Pr 0.0000 0.0000 0.0000 x4  4 Ho 3.52, 4 Er 3.52
Nd 0.0000 0.0000 0.5000 x4  4 Ho 3.52, 4 Er 3.52
Ho 0.2500 0.2500 0.2500 x4  4 Pr 3.52, 4 Nd 3.52
Er 0.2500 0.2500 0.7500 x4  4 Pr 3.52, 4 Nd 3.52

The value obtained for the density of states at the Fermi level is 28.914 states/eV/cell. The magnetic moment comes out at 0.00 μB per atom.



Which structure is most stable, and how do the rest compare? From most to least stable: w), x).



w) Entry from Alexandria: TbNdHoEr after structural relaxation (PBE).

a b c (Å): 8.0419 8.0419 8.0419
angles (deg): 90.00 90.00 90.00
Last column: nearest neighbours and their distance in Å.
Space group F-43m (No. 216)
Asymmetric unit:
Tb 0.0000 0.0000 0.0000 x4  4 Ho 3.48, 4 Er 3.48
Nd 0.0000 0.0000 0.5000 x4  4 Ho 3.48, 4 Er 3.48
Ho 0.2500 0.2500 0.7500 x4  4 Tb 3.48, 4 Nd 3.48
Er 0.2500 0.2500 0.2500 x4  4 Nd 3.48, 4 Tb 3.48

The value obtained for the density of states at the Fermi level is 31.407 states/eV/cell. The magnetic moment comes out at 0.00 μB per atom.



x) Entry from Alexandria: TbNdHoEr after structural relaxation (PBE).

a b c (Å): 3.5858 3.5858 34.6697
angles (deg): 90.00 90.00 120.00
Last column: nearest neighbours and their distance in Å.
Space group R3m (No. 160, hexagonal axes)
Asymmetric unit:
Tb 0.0000 0.0000 0.0000 x3  3 Er 3.51, 3 Ho 3.52, 6 Tb 3.59
Nd 0.0000 0.0000 0.8345 x3  3 Er 3.57, 6 Nd 3.59, 3 Ho 3.62
Ho 0.0000 0.0000 0.4156 x3  3 Tb 3.52, 6 Ho 3.59, 3 Nd 3.62
Er 0.0000 0.0000 0.5850 x3  3 Tb 3.51, 3 Nd 3.57, 6 Er 3.59

The value obtained for the density of states at the Fermi level is 16.734 states/eV/cell. The magnetic moment comes out at 0.00 μB per atom.



Which structure is most stable, and how do the rest compare? From most to least stable: x), w).



w) Entry from Alexandria: NdHoErTh after structural relaxation (PBE).

a b c (Å): 3.5912 3.5912 34.5936
angles (deg): 90.00 90.00 120.00
Last column: nearest neighbours and their distance in Å.
Space group R3m (No. 160, hexagonal axes)
Asymmetric unit:
Nd 0.0000 0.0000 0.0000 x3  6 Nd 3.59, 3 Ho 3.62, 3 Er 3.63
Ho 0.0000 0.0000 0.2477 x3  3 Th 3.48, 6 Ho 3.59, 3 Nd 3.62
Er 0.0000 0.0000 0.4196 x3  3 Th 3.48, 6 Er 3.59, 3 Nd 3.63
Th 0.0000 0.0000 0.8336 x3  3 Er 3.48, 3 Ho 3.48, 6 Th 3.59

The value obtained for the density of states at the Fermi level is 18.000 states/eV/cell. The magnetic moment comes out at 0.00 μB per atom.



x) Entry from Alexandria: NdHoErTh after structural relaxation (PBE).

a b c (Å): 8.0404 8.0404 8.0404
angles (deg): 90.00 90.00 90.00
Last column: nearest neighbours and their distance in Å.
Space group F-43m (No. 216)
Asymmetric unit:
Nd 0.0000 0.0000 0.0000 x4  4 Ho 3.48, 4 Er 3.48
Ho 0.2500 0.2500 0.7500 x4  4 Th 3.48, 4 Nd 3.48
Er 0.2500 0.2500 0.2500 x4  4 Th 3.48, 4 Nd 3.48
Th 0.0000 0.0000 0.5000 x4  4 Er 3.48, 4 Ho 3.48

The value obtained for the density of states at the Fermi level is 33.037 states/eV/cell. The magnetic moment comes out at 0.00 μB per atom.



Which structure is most stable, and how do the rest compare? From most to least stable: w), x).



w) Entry from Alexandria: NdHoErTm after structural relaxation (PBE).

a b c (Å): 8.0024 8.0024 8.0024
angles (deg): 90.00 90.00 90.00
Last column: nearest neighbours and their distance in Å.
Space group F-43m (No. 216)
Asymmetric unit:
Nd 0.0000 0.0000 0.0000 x4  4 Er 3.47, 4 Tm 3.47
Ho 0.0000 0.0000 0.5000 x4  4 Tm 3.47, 4 Er 3.47
Er 0.2500 0.2500 0.7500 x4  4 Ho 3.47, 4 Nd 3.47
Tm 0.2500 0.2500 0.2500 x4  4 Ho 3.47, 4 Nd 3.47

The value obtained for the density of states at the Fermi level is 26.563 states/eV/cell. The magnetic moment comes out at 0.00 μB per atom.



x) Entry from Alexandria: NdHoErTm after structural relaxation (PBE).

a b c (Å): 3.5687 3.5687 34.4691
angles (deg): 90.00 90.00 120.00
Last column: nearest neighbours and their distance in Å.
Space group R3m (No. 160, hexagonal axes)
Asymmetric unit:
Nd 0.0000 0.0000 0.0000 x3  6 Nd 3.57, 3 Er 3.57, 3 Tm 3.60
Ho 0.0000 0.0000 0.1662 x3  3 Er 3.49, 3 Tm 3.49, 6 Ho 3.57
Er 0.0000 0.0000 0.7513 x3  3 Ho 3.49, 6 Er 3.57, 3 Nd 3.57
Tm 0.0000 0.0000 0.5812 x3  3 Ho 3.49, 6 Tm 3.57, 3 Nd 3.60

The value obtained for the density of states at the Fermi level is 16.725 states/eV/cell. The magnetic moment comes out at 0.00 μB per atom.



Which structure is most stable, and how do the rest compare? From most to least stable: x), w).



w) Entry from Alexandria: NdYHoEr after structural relaxation (PBE).

a b c (Å): 3.5926 3.5926 34.6833
angles (deg): 90.00 90.00 120.00
Last column: nearest neighbours and their distance in Å.
Space group R3m (No. 160, hexagonal axes)
Asymmetric unit:
Nd 0.0000 0.0000 0.0000 x3  3 Ho 3.57, 6 Nd 3.59, 3 Y 3.64
Y 0.0000 0.0000 0.5803 x3  3 Er 3.53, 6 Y 3.59, 3 Nd 3.64
Ho 0.0000 0.0000 0.7506 x3  3 Er 3.49, 3 Nd 3.57, 6 Ho 3.59
Er 0.0000 0.0000 0.1648 x3  3 Ho 3.49, 3 Y 3.53, 6 Er 3.59

The value obtained for the density of states at the Fermi level is 17.336 states/eV/cell. The magnetic moment comes out at 0.00 μB per atom.



x) Entry from Alexandria: NdYHoEr after structural relaxation (PBE).

a b c (Å): 8.0535 8.0535 8.0535
angles (deg): 90.00 90.00 90.00
Last column: nearest neighbours and their distance in Å.
Space group F-43m (No. 216)
Asymmetric unit:
Nd 0.0000 0.0000 0.0000 x4  4 Er 3.49, 4 Ho 3.49
Y 0.0000 0.0000 0.5000 x4  4 Ho 3.49, 4 Er 3.49
Ho 0.2500 0.2500 0.2500 x4  4 Nd 3.49, 4 Y 3.49
Er 0.2500 0.2500 0.7500 x4  4 Nd 3.49, 4 Y 3.49

The value obtained for the density of states at the Fermi level is 32.200 states/eV/cell. The magnetic moment comes out at 0.00 μB per atom.



Which structure is most stable, and how do the rest compare? From most to least stable: w), x).